No. 1
# DyTh2P2Rh7 | the Alexandria database | PBE | relaxed
# DOS(E_F): 0.629 states/eV per atom
# calculated density: 10.9 g/cm³
# uncorrected energy: -7.790 eV per atom
# formation energy: -1134 kJ/mol of formula units
data_DyTh2P2Rh7
_chemical_formula_sum 'Dy2 Th4 P4 Rh14'
_cell_length_a 5.712
_cell_length_b 5.672
_cell_length_c 13.414
_cell_angle_alpha 90.00
_cell_angle_beta 98.19
_cell_angle_gamma 90.00
_symmetry_space_group_name_H-M 'C 1 2/m 1'
_symmetry_Int_Tables_number 12
_symmetry_space_group_name_Hall '-C 2y'
loop_
_atom_site_label
_atom_site_fract_x
_atom_site_fract_y
_atom_site_fract_z
Dy1 0.000 0.000 0.000
Th1 0.109 0.000 0.348
P1 0.083 0.500 0.249
Rh1 0.000 0.500 0.000
Rh2 0.131 0.500 0.423
Rh3 0.196 0.250 0.838

---

No. 2
# Tb2SmDy2Y6 | the Alexandria database | PBE | relaxed
# DOS(E_F): 1.563 states/eV per atom
# calculated density: 6.1 g/cm³
# uncorrected energy: -5.482 eV per atom
# formation energy: 161 kJ/mol of formula units
data_Tb2SmDy2Y6
_chemical_formula_sum 'Tb4 Sm2 Dy4 Y12'
_cell_length_a 5.703
_cell_length_b 12.060
_cell_length_c 10.496
_cell_angle_alpha 90.00
_cell_angle_beta 90.00
_cell_angle_gamma 90.00
_symmetry_space_group_name_H-M 'C m m m'
_symmetry_Int_Tables_number 65
_symmetry_space_group_name_Hall '-C 2 2'
loop_
_atom_site_label
_atom_site_fract_x
_atom_site_fract_y
_atom_site_fract_z
Tb1 0.000 0.207 0.000
Sm1 0.000 0.500 0.000
Dy1 0.000 0.133 0.500
Y1 0.000 0.000 0.208
Y2 0.000 0.348 0.298

---

No. 3
# SrTb3Sm2Te6 | the Alexandria database | PBE | relaxed
# DOS(E_F): 0.470 states/eV per atom
# calculated density: 7.2 g/cm³
# E_form (uncorrected): -1.40 eV/atom
# uncorrected energy: -5.051 eV per atom
data_SrTb3Sm2Te6
_chemical_formula_sum 'Sr2 Tb6 Sm4 Te12'
_cell_length_a 19.434
_cell_length_b 4.441
_cell_length_c 8.939
_cell_angle_alpha 90.00
_cell_angle_beta 103.90
_cell_angle_gamma 90.00
_symmetry_space_group_name_H-M 'C 1 2/m 1'
_symmetry_Int_Tables_number 12
_symmetry_space_group_name_Hall '-C 2y'
loop_
_atom_site_label
_atom_site_fract_x
_atom_site_fract_y
_atom_site_fract_z
Sr1 0.000 0.000 0.000
Tb1 0.000 0.000 0.500
Tb2 0.165 0.500 0.821
Sm1 0.172 0.500 0.346
Te1 0.001 0.500 0.261
Te2 0.163 0.000 0.585
Te3 0.171 0.000 0.080

---

No. 4
# HoTh2V | the Alexandria database | PBE | relaxed
# DOS(E_F): 1.492 states/eV per atom
# calculated density: 9.9 g/cm³
# uncorrected energy: -6.515 eV per atom
# formation energy: 239 kJ/mol of formula units
data_HoTh2V
_chemical_formula_sum 'Ho3 Th6 V3'
_cell_length_a 3.3915
_cell_length_b 3.3915
_cell_length_c 34.2966
_cell_angle_alpha 90.00
_cell_angle_beta 90.00
_cell_angle_gamma 120.00
_symmetry_space_group_name_H-M 'R -3 m'
_symmetry_Int_Tables_number 166
_symmetry_space_group_name_Hall '-R 3 2"'
loop_
_atom_site_label
_atom_site_fract_x
_atom_site_fract_y
_atom_site_fract_z
Ho1 0.0000 0.0000 0.0000
Th1 0.0000 0.0000 0.4213
V1 0.0000 0.0000 0.5000

---

No. 5
# NaSc6S8 | the Alexandria database | PBE | relaxed
# DOS(E_F): 0.497 states/eV per atom
# calculated density: 2.4 g/cm³
# E_form (uncorrected): -1.72 eV/atom
# uncorrected energy: -6.544 eV per atom
data_NaSc6S8
_chemical_formula_sum 'Na3 Sc18 S24'
_cell_length_a 10.6550
_cell_length_b 10.6550
_cell_length_c 11.4486
_cell_angle_alpha 90.00
_cell_angle_beta 90.00
_cell_angle_gamma 120.00
_symmetry_space_group_name_H-M 'R -3'
_symmetry_Int_Tables_number 148
_symmetry_space_group_name_Hall '-R 3'
loop_
_atom_site_label
_atom_site_fract_x
_atom_site_fract_y
_atom_site_fract_z
Na1 0.0000 0.0000 0.0000
Sc1 0.0050 0.1853 0.3769
S1 0.0000 0.0000 0.2374
S2 0.0131 0.2796 0.5875

---

No. 6
# Nd4Dy9Er11 | the Alexandria database | PBE | relaxed
# DOS(E_F): 1.247 states/eV per atom
# calculated density: 8.4 g/cm³
# uncorrected energy: -4.553 eV per atom
# formation energy: 137 kJ/mol of formula units
data_Nd4Dy9Er11
_chemical_formula_sum 'Nd8 Dy18 Er22'
_cell_length_a 16.632
_cell_length_b 24.987
_cell_length_c 3.681
_cell_angle_alpha 90.00
_cell_angle_beta 90.00
_cell_angle_gamma 90.00
_symmetry_space_group_name_H-M 'C m m m'
_symmetry_Int_Tables_number 65
_symmetry_space_group_name_Hall '-C 2 2'
loop_
_atom_site_label
_atom_site_fract_x
_atom_site_fract_y
_atom_site_fract_z
Nd1 0.154 0.100 0.000
Dy1 0.000 0.000 0.000
Dy2 0.102 0.236 0.000
Dy3 0.139 0.427 0.000
Er1 0.000 0.136 0.500
Er2 0.000 0.341 0.500
Er3 0.000 0.500 0.500
Er4 0.214 0.000 0.500
Er5 0.226 0.319 0.500

---

No. 7
# Li2Tb2HoSn2 | the Alexandria database | PBE | relaxed
# DOS(E_F): 0.609 states/eV per atom
# calculated density: 7.0 g/cm³
# uncorrected energy: -4.111 eV per atom
# formation energy: -300 kJ/mol of formula units
data_Li2Tb2HoSn2
_chemical_formula_sum 'Li6 Tb6 Ho3 Sn6'
_cell_length_a 4.7692
_cell_length_b 4.7692
_cell_length_c 26.5832
_cell_angle_alpha 90.00
_cell_angle_beta 90.00
_cell_angle_gamma 120.00
_symmetry_space_group_name_H-M 'R -3 m'
_symmetry_Int_Tables_number 166
_symmetry_space_group_name_Hall '-R 3 2"'
loop_
_atom_site_label
_atom_site_fract_x
_atom_site_fract_y
_atom_site_fract_z
Li1 0.0000 0.0000 0.1007
Tb1 0.0000 0.0000 0.3716
Ho1 0.0000 0.0000 0.5000
Sn1 0.0000 0.0000 0.2355

---

No. 8
# NdAg5Cl8 | the Alexandria database | PBE | relaxed
# DOS(E_F): 0.000 states/eV per atom
# calculated density: 4.8 g/cm³
# E_form (uncorrected): -0.93 eV/atom
# uncorrected energy: -3.342 eV per atom
data_NdAg5Cl8
_chemical_formula_sum 'Nd2 Ag10 Cl16'
_cell_length_a 9.022
_cell_length_b 9.022
_cell_length_c 8.297
_cell_angle_alpha 90.00
_cell_angle_beta 90.00
_cell_angle_gamma 90.00
_symmetry_space_group_name_H-M 'I -4'
_symmetry_Int_Tables_number 82
_symmetry_space_group_name_Hall 'I -4'
loop_
_atom_site_label
_atom_site_fract_x
_atom_site_fract_y
_atom_site_fract_z
Nd1 0.000 0.000 0.000
Ag1 0.000 0.500 0.250
Ag2 0.136 0.750 0.590
Cl1 0.013 0.799 0.303
Cl2 0.027 0.709 0.904